# Y4Tm2Sc, relaxed, DFT GGA-PBE
# Mass density: 5633 kg/m³
# Polymorph energy (0 for the lowest one): 0.000 eV/atom
# Total magnetic moment: 0.000 μB/atom
data_Y4Tm2Sc
_space_group_name_H-M_alt 'C 1 2/m 1'
_space_group_IT_number 12
_space_group_name_Hall '-C 2y'
_cell_length_a 16.4092
_cell_length_b 3.4538
_cell_length_c 8.5765
_cell_angle_alpha 90.00
_cell_angle_beta 116.40
_cell_angle_gamma 90.00
loop_
_atom_site_label
_atom_site_fract_x
_atom_site_fract_y
_atom_site_fract_z
Y1 0.0795 0.0000 0.2058
Y2 0.1344 0.5000 0.9040
Tm1 0.2183 0.0000 0.6444
Sc1 0.0000 0.0000 0.5000